1.
Entry from Alexandria via LeMat-Bulk: Rb2InNiC after structural relaxation (PBE).

```
Rb2InNiC
1.0
6.176 0.000 0.000
0.000 4.928 0.000
0.000 0.000 6.176
Ni C Rb In
1 1 2 1
direct
0.000 0.000 0.000
0.500 0.500 0.500
0.000 0.000 0.500
0.500 0.000 0.000
0.000 0.500 0.000
```

Values from the calculation:
DFT total energy, eV per atom: -2.606
ΔH_f (0 K), eV/f.u.: 6.65

---

2.
Entry from Alexandria via LeMat-Bulk: InNi2RhC after structural relaxation (PBE).

```
InNi2RhC
1.0
-0.468 -3.806 0.752
2.220 0.359 3.196
-3.332 0.849 2.220
Ni C Rh In
2 1 1 1
direct
0.000 0.500 0.000
0.500 0.000 0.000
0.000 0.000 0.000
0.000 0.000 0.500
0.500 0.500 0.500
```

Values from the calculation:
DFT total energy, eV per atom: -6.216
ΔH_f (0 K), eV/f.u.: -0.21

---

3.
Entry from Alexandria via LeMat-Bulk: InNiRh2C after structural relaxation (PBE).

```
InNiRh2C
1.0
4.115 0.000 0.000
0.000 4.115 0.000
0.000 0.000 3.921
Ni C Rh In
1 1 2 1
direct
0.000 0.000 0.500
0.000 0.000 0.000
0.000 0.500 0.000
0.500 0.000 0.000
0.500 0.500 0.500
```

Values from the calculation:
DFT total energy, eV per atom: -6.581
ΔH_f (0 K), eV/f.u.: -0.46

---

4.
Entry from Alexandria via LeMat-Bulk: Sr2InNiC after structural relaxation (PBE).

```
Sr2InNiC
1.0
5.705 0.000 0.000
0.000 5.705 0.000
0.000 0.000 3.658
Sr C Ni In
2 1 1 1
direct
0.000 0.500 0.000
0.500 0.000 0.000
0.000 0.000 0.000
0.000 0.000 0.500
0.500 0.500 0.500
```

Values from the calculation:
DFT total energy, eV per atom: -4.242
ΔH_f (0 K), eV/f.u.: -0.10

---

5.
Entry from Alexandria via LeMat-Bulk: InNiTeC2 after structural relaxation (PBE).

```
InNiTeC2
1.0
4.252 0.000 0.000
0.000 5.081 0.000
0.000 0.000 4.252
Ni C Te In
1 2 1 1
direct
0.000 0.500 0.000
0.000 0.000 0.500
0.500 0.000 0.000
0.500 0.500 0.500
0.000 0.000 0.000
```

Values from the calculation:
Uncorrected formation energy, meV/atom: 2338
DFT total energy, eV per atom: -3.684

---

6.
Entry from Alexandria via LeMat-Bulk: TiInNiC2 after structural relaxation (PBE).

```
TiInNiC2
1.0
-2.397 0.669 -3.215
-1.483 -5.172 0.030
-3.086 0.899 2.489
Ni C Ti In
1 2 1 1
direct
0.500 0.500 0.500
0.000 0.000 0.500
0.500 0.000 0.000
0.000 0.000 0.000
0.000 0.500 0.000
```

Values from the calculation:
DFT total energy, eV per atom: -5.273
ΔH_f (0 K), eV/f.u.: 8.50